Record 1
Here is a relaxed structure of Pr6SbAs4 from Alexandria via LeMat-Bulk. Energies are from PBE-GGA.

## Properties
Spin magnetization ... 0.66 μB per formula unit
Energy relative to the elements, uncorrected ... -1.329 eV/atom
Crystal system ... orthorhombic

```
22
Lattice="4.338 0.000 0.000 -2.169 7.081 0.000 0.000 0.000 21.698" Properties=species:S:1:pos:R:3 pbc="T T T"
Pr 2.169 0.000 0.000
Pr 2.169 0.000 10.849
Pr 0.000 0.594 7.365
Pr 2.169 6.487 14.333
Pr 2.169 6.487 18.214
Pr 0.000 0.594 3.484
Pr 2.169 3.865 9.066
Pr 0.000 3.216 12.632
Pr 0.000 3.216 19.916
Pr 2.169 3.865 1.783
Pr 0.000 4.619 5.425
Pr 2.169 2.462 16.274
Sb 2.169 2.295 5.425
Sb 0.000 4.786 16.274
As 2.169 5.135 11.755
As 0.000 5.786 2.738
As 0.000 1.946 9.943
As 2.169 1.295 18.961
As 2.169 5.135 20.792
As 0.000 1.946 0.906
As 2.169 1.295 13.587
As 0.000 5.786 8.111
```

***

Record 2
Here is a relaxed structure of Pr5Sb2As2 from Alexandria via LeMat-Bulk. Energies are from PBE-GGA.

## Properties
Spin magnetization ... 0.00 μB per formula unit
Energy relative to the elements, uncorrected ... -1.158 eV/atom
Crystal system ... orthorhombic

```
18
Lattice="8.283 0.000 0.000 0.000 7.298 -3.751 0.000 -0.049 8.879" Properties=species:S:1:pos:R:3 pbc="T T T"
Pr 0.000 0.000 0.000
Pr 4.142 3.649 -1.876
Pr 6.959 5.758 -0.664
Pr 1.325 3.407 0.545
Pr 2.817 7.056 -1.331
Pr 5.466 2.109 1.212
Pr 1.325 1.491 5.791
Pr 6.959 3.842 4.583
Pr 5.466 0.193 6.458
Pr 2.817 5.140 3.916
Sb 0.000 1.457 2.833
Sb 4.142 5.105 0.958
Sb 0.000 5.792 2.294
Sb 4.142 2.144 4.170
As 5.332 6.242 -3.209
As 2.952 1.056 -0.543
As 1.190 4.705 -2.418
As 7.094 2.593 -1.333
```

***

Record 3
Here is a relaxed structure of Pr2SbAs from Alexandria via LeMat-Bulk. Energies are from PBE-GGA.

## Properties
Spin magnetization ... 0.00 μB per formula unit
Energy relative to the elements, uncorrected ... -1.332 eV/atom
Crystal system ... trigonal

```
4
Lattice="4.421 0.000 0.000 2.211 3.829 0.000 2.211 1.276 7.279" Properties=species:S:1:pos:R:3 pbc="T T T"
Pr 6.632 3.829 5.573
Pr 2.211 1.276 1.706
Sb 4.421 2.552 3.639
As 0.000 0.000 0.000
```

***

Record 4
Here is a relaxed structure of Pr8SbAs5 from Alexandria via LeMat-Bulk. Energies are from PBE-GGA.

## Properties
Spin magnetization ... 0.00 μB per formula unit
Energy relative to the elements, uncorrected ... -1.221 eV/atom
Crystal system ... tetragonal

```
14
Lattice="-4.862 1.647 -6.097 -4.052 -3.998 5.580 2.816 6.761 3.143" Properties=species:S:1:pos:R:3 pbc="T T T"
Pr -3.637 -2.743 3.555
Pr -3.119 6.245 -3.061
Pr -3.607 2.771 -2.036
Pr -2.125 5.428 1.040
Pr -4.222 0.011 1.225
Pr -4.257 3.421 3.841
Pr -1.181 1.899 0.917
Pr -2.240 0.612 5.023
Sb -1.129 3.484 3.623
As -1.210 -0.651 2.501
As -7.078 -0.356 0.374
As -4.380 2.973 0.858
As -1.023 4.204 -1.477
As 0.473 6.855 1.518
```

***

Record 5
Here is a relaxed structure of Pr10Sb3As3 from Alexandria via LeMat-Bulk. Energies are from PBE-GGA.

## Properties
Spin magnetization ... 0.94 μB per formula unit
Energy relative to the elements, uncorrected ... -0.999 eV/atom
Crystal system ... hexagonal

```
16
Lattice="-2.694 5.294 -2.596 -0.718 -4.337 -8.101 -6.874 -0.498 6.119" Properties=species:S:1:pos:R:3 pbc="T T T"
Pr -3.428 -1.764 -3.995
Pr -5.480 -0.484 0.745
Pr -6.858 2.223 -0.582
Pr -4.806 0.943 -5.322
Pr -6.482 2.275 3.273
Pr -1.883 -0.593 -7.349
Pr -3.268 1.424 -1.799
Pr -1.733 -0.125 1.542
Pr -0.181 -1.093 -2.042
Pr -5.678 -3.616 -1.482
Sb -4.010 2.454 1.073
Sb -1.625 0.967 -4.436
Sb -5.998 -0.315 -2.512
As -4.273 -0.309 3.803
As -0.446 -2.696 -5.035
As -2.873 -1.830 -0.750
```

***

Record 6
Here is a relaxed structure of Pr3Sb2As from Alexandria via LeMat-Bulk. Energies are from PBE-GGA.

## Properties
Spin magnetization ... 0.00 μB per formula unit
Energy relative to the elements, uncorrected ... -1.281 eV/atom
Energy relative to the lowest polymorph listed for this composition ... 0 meV/atom
Crystal system ... orthorhombic

```
24
Lattice="0.071 -2.251 -7.425 -4.219 -4.999 4.173 -8.906 10.949 -0.699" Properties=species:S:1:pos:R:3 pbc="T T T"
Pr -10.215 5.324 1.017
Pr -7.977 6.811 -4.870
Pr -6.290 6.788 -0.793
Pr -8.458 3.050 -2.331
Pr -6.617 2.880 1.694
Pr -8.582 -0.555 0.153
Pr -4.642 0.619 -1.496
Pr -6.717 -3.059 -3.284
Pr -2.886 -1.708 -5.005
Pr -5.030 -3.029 0.955
Pr -0.983 -1.718 -0.770
Pr -3.165 -5.533 -2.482
Sb -10.919 6.182 -6.032
Sb -9.185 6.127 -1.945
Sb -7.250 3.734 -5.255
Sb -5.516 3.679 -1.168
Sb -7.538 0.020 -2.783
Sb -3.659 1.339 -4.495
Sb -3.869 -2.428 -2.006
Sb 0.010 -1.108 -3.718
As -11.222 2.477 -3.564
As -9.431 2.384 0.536
As -5.768 -0.059 1.311
As -1.832 1.222 -0.388
```

***

Record 7
Here is a relaxed structure of Pr7SbAs5 from Alexandria via LeMat-Bulk. Energies are from PBE-GGA.

## Properties
Spin magnetization ... 0.81 μB per formula unit
Energy relative to the elements, uncorrected ... -1.359 eV/atom
Crystal system ... orthorhombic

```
26
Lattice="4.331 0.000 0.000 -2.165 7.102 0.009 0.000 -0.030 25.379" Properties=species:S:1:pos:R:3 pbc="T T T"
Pr 0.000 6.561 6.353
Pr 2.165 0.520 19.035
Pr 2.165 1.942 0.887
Pr 0.000 5.139 24.502
Pr 0.000 5.150 13.580
Pr 2.165 1.928 11.807
Pr 0.000 2.522 4.420
Pr 2.166 4.560 20.969
Pr 2.166 4.563 17.112
Pr 0.000 2.516 8.276
Pr 2.165 5.820 2.673
Pr 0.000 1.261 22.717
Pr 0.000 1.268 15.355
Pr 2.165 5.810 10.032
Sb 2.165 4.232 6.351
Sb 0.000 2.849 19.039
As 0.000 0.005 0.001
As 2.165 3.209 23.530
As 0.000 3.872 1.859
As 2.165 0.626 9.039
As 0.000 6.453 16.349
As 0.000 -0.012 12.689
As 0.000 3.861 10.841
As 2.165 3.218 14.547
As 0.000 6.448 21.736
As 2.165 0.633 3.653
```

***

Record 8
Here is a relaxed structure of Pr6SbAs5 from Alexandria via LeMat-Bulk. Energies are from PBE-GGA.

## Properties
Spin magnetization ... 0.00 μB per formula unit
Energy relative to the elements, uncorrected ... -1.436 eV/atom
Crystal system ... monoclinic

```
12
Lattice="-0.406 3.187 6.814 -7.213 0.601 -2.100 2.814 -6.722 1.923" Properties=species:S:1:pos:R:3 pbc="T T T"
Pr -5.293 -0.921 4.255
Pr -2.951 0.498 1.002
Pr -3.368 -3.730 1.605
Pr -1.437 0.797 5.033
Pr -1.854 -3.432 5.635
Pr 0.488 -2.013 2.382
Sb 0.000 0.000 0.000
As -5.768 0.991 1.968
As -3.872 -1.839 -0.759
As -2.403 -1.467 3.319
As -0.527 -4.282 0.583
As 0.963 -3.925 4.669
```

***

Please write out number 3 again, unchanged.
Here is a relaxed structure of Pr2SbAs from Alexandria via LeMat-Bulk. Energies are from PBE-GGA.

## Properties
Spin magnetization ... 0.00 μB per formula unit
Energy relative to the elements, uncorrected ... -1.332 eV/atom
Crystal system ... trigonal

```
4
Lattice="4.421 0.000 0.000 2.211 3.829 0.000 2.211 1.276 7.279" Properties=species:S:1:pos:R:3 pbc="T T T"
Pr 6.632 3.829 5.573
Pr 2.211 1.276 1.706
Sb 4.421 2.552 3.639
As 0.000 0.000 0.000
```

***

What did the third record say?
Here is a relaxed structure of Pr2SbAs from Alexandria via LeMat-Bulk. Energies are from PBE-GGA.

## Properties
Spin magnetization ... 0.00 μB per formula unit
Energy relative to the elements, uncorrected ... -1.332 eV/atom
Crystal system ... trigonal

```
4
Lattice="4.421 0.000 0.000 2.211 3.829 0.000 2.211 1.276 7.279" Properties=species:S:1:pos:R:3 pbc="T T T"
Pr 6.632 3.829 5.573
Pr 2.211 1.276 1.706
Sb 4.421 2.552 3.639
As 0.000 0.000 0.000
```

***

Repeat the seventh record exactly.
Here is a relaxed structure of Pr7SbAs5 from Alexandria via LeMat-Bulk. Energies are from PBE-GGA.

## Properties
Spin magnetization ... 0.81 μB per formula unit
Energy relative to the elements, uncorrected ... -1.359 eV/atom
Crystal system ... orthorhombic

```
26
Lattice="4.331 0.000 0.000 -2.165 7.102 0.009 0.000 -0.030 25.379" Properties=species:S:1:pos:R:3 pbc="T T T"
Pr 0.000 6.561 6.353
Pr 2.165 0.520 19.035
Pr 2.165 1.942 0.887
Pr 0.000 5.139 24.502
Pr 0.000 5.150 13.580
Pr 2.165 1.928 11.807
Pr 0.000 2.522 4.420
Pr 2.166 4.560 20.969
Pr 2.166 4.563 17.112
Pr 0.000 2.516 8.276
Pr 2.165 5.820 2.673
Pr 0.000 1.261 22.717
Pr 0.000 1.268 15.355
Pr 2.165 5.810 10.032
Sb 2.165 4.232 6.351
Sb 0.000 2.849 19.039
As 0.000 0.005 0.001
As 2.165 3.209 23.530
As 0.000 3.872 1.859
As 2.165 0.626 9.039
As 0.000 6.453 16.349
As 0.000 -0.012 12.689
As 0.000 3.861 10.841
As 2.165 3.218 14.547
As 0.000 6.448 21.736
As 2.165 0.633 3.653
```

***

What is the formula in the sixth record? Pr3Sb2As